[1]
A geometry-optimized BeTl2CoAs structure. Source: Alexandria, functional GGA-PBE.

Lattice parameters (Å, degrees): 5.054 5.054 4.147 90.00 90.00 90.00
Fractional positions:
Be (0.000, 0.000, 0.000)
Tl (0.000, 0.500, 0.500)
Tl (0.500, 0.000, 0.500)
Co (0.000, 0.000, 0.500)
As (0.500, 0.500, 0.000)

## Properties
M_tot in μB per formula unit: 0.000
SG: P4/mmm (123)
Formation energy in eV per atom: 0.651

[2]
A geometry-optimized BeCrAs2 structure. Source: Alexandria, functional GGA-PBE.

Lattice parameters (Å, degrees): 6.305 6.305 6.305 151.02 149.41 42.64
Fractional positions:
Be (0.000, 0.000, 0.000)
Cr (0.642, 0.142, 0.500)
As (0.230, 0.730, 0.500)
As (0.476, 0.476, 0.000)

## Properties
M_tot in μB per formula unit: 0.000
SG: Imm2 (44)
Formation energy in eV per atom: 0.125

[3]
A geometry-optimized BeCrAs2 structure. Source: Alexandria, functional GGA-PBE.

Lattice parameters (Å, degrees): 4.571 4.571 4.571 136.16 120.40 76.86
Fractional positions:
Be (0.000, 0.000, 0.000)
Cr (0.500, 0.500, 0.000)
As (0.222, 0.722, 0.500)
As (0.778, 0.278, 0.500)

## Properties
M_tot in μB per formula unit: 1.483
SG: Immm (71)
Formation energy in eV per atom: 0.272

[4]
A geometry-optimized BeCrAs2 structure. Source: Alexandria, functional GGA-PBE.

Lattice parameters (Å, degrees): 4.273 4.273 3.335 90.00 90.00 100.96
Fractional positions:
Be (0.000, 0.000, 0.000)
Cr (0.500, 0.500, 0.000)
As (0.000, 0.500, 0.500)
As (0.500, 0.000, 0.500)

## Properties
M_tot in μB per formula unit: 3.026
SG: Cmmm (65)
Formation energy in eV per atom: 0.295

[5]
A geometry-optimized BeCr3As structure. Source: Alexandria, functional GGA-PBE.

Lattice parameters (Å, degrees): 3.961 3.961 3.961 90.00 90.00 90.00
Fractional positions:
Be (0.000, 0.000, 0.000)
Cr (0.000, 0.000, 0.500)
Cr (0.000, 0.500, 0.000)
Cr (0.500, 0.000, 0.000)
As (0.500, 0.500, 0.500)

## Properties
Polymorph energy (0 for the lowest one) in meV/atom: 0.0
M_tot in μB per formula unit: 0.002
SG: Pm-3m (221)
Formation energy in eV per atom: 0.787

[6]
A geometry-optimized Be2CrAs structure. Source: Alexandria, functional GGA-PBE.

Lattice parameters (Å, degrees): 2.646 2.646 8.035 90.00 90.00 90.00
Fractional positions:
Be (0.000, 0.000, 0.000)
Be (0.500, 0.500, 0.132)
Cr (0.000, 0.000, 0.324)
As (0.500, 0.500, 0.550)

## Properties
M_tot in μB per formula unit: 1.285
SG: P4mm (99)
Formation energy in eV per atom: 0.345

[7]
A geometry-optimized BeCrAs2 structure. Source: Alexandria, functional GGA-PBE.

Lattice parameters (Å, degrees): 3.280 3.280 5.299 90.00 90.00 90.00
Fractional positions:
Be (0.000, 0.000, 0.000)
Cr (0.000, 0.000, 0.500)
As (0.500, 0.500, 0.252)
As (0.500, 0.500, 0.748)

## Properties
M_tot in μB per formula unit: 1.993
SG: P4/mmm (123)
Formation energy in eV per atom: 0.263

[8]
A geometry-optimized BeCr3As structure. Source: Alexandria, functional GGA-PBE.

Lattice parameters (Å, degrees): 4.516 4.516 4.516 90.00 90.00 90.00
Fractional positions:
Be (0.000, 0.000, 0.000)
Cr (0.000, 0.500, 0.500)
Cr (0.500, 0.000, 0.500)
Cr (0.500, 0.500, 0.000)
As (0.500, 0.500, 0.500)

## Properties
Polymorph energy (0 for the lowest one) in meV/atom: 347.5
M_tot in μB per formula unit: 8.813
SG: Pm-3m (221)
Formation energy in eV per atom: 1.134

[9]
A geometry-optimized Be2CrAs structure. Source: Alexandria, functional GGA-PBE.

Lattice parameters (Å, degrees): 2.567 3.787 4.630 90.00 90.00 90.00
Fractional positions:
Be (0.000, 0.000, 0.000)
Be (0.000, 0.500, 0.216)
Cr (0.500, 0.500, 0.766)
As (0.000, 0.000, 0.511)

## Properties
M_tot in μB per formula unit: 0.237
SG: Pmm2 (25)
Formation energy in eV per atom: 0.183

[10]
A geometry-optimized BeCrAs2 structure. Source: Alexandria, functional GGA-PBE.

Lattice parameters (Å, degrees): 3.476 5.033 5.033 39.18 90.00 90.00
Fractional positions:
Be (0.000, 0.000, 0.000)
Cr (0.500, 0.177, 0.177)
As (0.000, 0.759, 0.759)
As (0.500, 0.475, 0.475)

## Properties
M_tot in μB per formula unit: 1.308
SG: Amm2 (38)
Formation energy in eV per atom: 0.017

[11]
A geometry-optimized BeCrAs2 structure. Source: Alexandria, functional GGA-PBE.

Lattice parameters (Å, degrees): 5.262 5.262 5.262 140.22 140.22 57.52
Fractional positions:
Be (0.000, 0.000, 0.000)
Cr (0.250, 0.750, 0.500)
As (0.500, 0.500, 0.000)
As (0.750, 0.250, 0.500)

## Properties
M_tot in μB per formula unit: 2.620
SG: I-4m2 (119)
Formation energy in eV per atom: 0.296

[12]
A geometry-optimized Be2CrAs structure. Source: Alexandria, functional GGA-PBE.

Lattice parameters (Å, degrees): 4.449 4.449 4.449 135.34 135.34 65.01
Fractional positions:
Be (0.000, 0.000, 0.000)
Be (0.750, 0.250, 0.500)
Cr (0.500, 0.500, 0.000)
As (0.250, 0.750, 0.500)

## Properties
M_tot in μB per formula unit: 0.923
SG: I-4m2 (119)
Formation energy in eV per atom: 0.008

[13]
A geometry-optimized Be2CrAs structure. Source: Alexandria, functional GGA-PBE.

Lattice parameters (Å, degrees): 4.540 4.540 4.540 135.94 135.94 64.08
Fractional positions:
Be (0.250, 0.750, 0.500)
Be (0.750, 0.250, 0.500)
Cr (0.000, 0.000, 0.000)
As (0.500, 0.500, 0.000)

## Properties
M_tot in μB per formula unit: 1.258
SG: I4/mmm (139)
Formation energy in eV per atom: 0.110

[14]
A geometry-optimized BeCrAs2 structure. Source: Alexandria, functional GGA-PBE.

Lattice parameters (Å, degrees): 4.454 4.454 4.454 60.00 60.00 60.00
Fractional positions:
Be (0.000, 0.000, 0.000)
Cr (0.250, 0.250, 0.250)
As (0.500, 0.500, 0.500)
As (0.750, 0.750, 0.750)

## Properties
M_tot in μB per formula unit: 3.450
SG: F-43m (216)
Formation energy in eV per atom: 0.600

[15]
A geometry-optimized Be2Cr2As structure. Source: Alexandria, functional GGA-PBE.

Lattice parameters (Å, degrees): 7.052 7.052 7.052 155.37 155.37 35.12
Fractional positions:
Be (0.250, 0.750, 0.500)
Be (0.750, 0.250, 0.500)
Cr (0.103, 0.103, 0.000)
Cr (0.897, 0.897, 0.000)
As (0.500, 0.500, 0.000)

## Properties
M_tot in μB per formula unit: 4.224
SG: I4/mmm (139)
Formation energy in eV per atom: 0.346

[16]
A geometry-optimized BeCrAs2 structure. Source: Alexandria, functional GGA-PBE.

Lattice parameters (Å, degrees): 3.279 3.279 6.111 90.00 90.00 90.00
Fractional positions:
Be (0.000, 0.000, 0.000)
Cr (0.500, 0.500, 0.237)
As (0.000, 0.000, 0.384)
As (0.500, 0.500, 0.843)

## Properties
M_tot in μB per formula unit: 2.256
SG: P4mm (99)
Formation energy in eV per atom: 0.124

[17]
A geometry-optimized Be2CrAs structure. Source: Alexandria, functional GGA-PBE.

Lattice parameters (Å, degrees): 4.080 4.080 4.080 60.00 60.00 60.00
Fractional positions:
Be (0.000, 0.000, 0.000)
Be (0.250, 0.250, 0.250)
Cr (0.750, 0.750, 0.750)
As (0.500, 0.500, 0.500)

## Properties
M_tot in μB per formula unit: 2.793
SG: F-43m (216)
Formation energy in eV per atom: 0.446

[18]
A geometry-optimized BeCr4As structure. Source: Alexandria, functional GGA-PBE.

Lattice parameters (Å, degrees): 4.717 4.717 4.717 60.00 60.00 60.00
Fractional positions:
Be (0.000, 0.000, 0.000)
Cr (0.121, 0.626, 0.626)
Cr (0.626, 0.121, 0.626)
Cr (0.626, 0.626, 0.121)
Cr (0.626, 0.626, 0.626)
As (0.250, 0.250, 0.250)

## Properties
M_tot in μB per formula unit: 0.000
SG: F-43m (216)
Formation energy in eV per atom: 0.439

[19]
A geometry-optimized Be2CrAs structure. Source: Alexandria, functional GGA-PBE.

Lattice parameters (Å, degrees): 2.574 3.997 4.483 90.00 97.59 90.00
Fractional positions:
Be (0.067, 0.000, 0.279)
Be (0.933, 0.000, 0.721)
Cr (0.500, 0.500, 0.500)
As (0.000, 0.500, 0.000)

## Properties
M_tot in μB per formula unit: 0.815
SG: P2/m (10)
Formation energy in eV per atom: 0.227

[20]
A geometry-optimized BeCrAs2 structure. Source: Alexandria, functional GGA-PBE.

Lattice parameters (Å, degrees): 6.717 6.717 6.717 27.53 27.53 27.53
Fractional positions:
Be (0.000, 0.000, 0.000)
Cr (0.500, 0.500, 0.500)
As (0.252, 0.252, 0.252)
As (0.748, 0.748, 0.748)

## Properties
M_tot in μB per formula unit: 0.000
SG: R-3m (166)
Formation energy in eV per atom: 0.156